! YPaW4 (PBE, relaxed); values from VASP
&SYSTEM
  ibrav = 0, nat = 6, ntyp = 3
/
ATOMIC_SPECIES
Y 88.91 Y.upf
Pa 231.04 Pa.upf
W 183.84 W.upf
ATOMIC_POSITIONS angstrom
Y 0.000 0.000 0.000
Pa 5.875 5.875 5.875
W 2.940 2.940 2.940
W 4.894 4.894 2.940
W 4.894 2.940 4.894
W 2.940 4.894 4.894
CELL_PARAMETERS angstrom
0.000 3.917 3.917
3.917 0.000 3.917
3.917 3.917 0.000
! Total magnetic moment   0.00 μB/f.u.
! Space-group type   F-43m (216)
! E_tot   -66.95 eV for the cell shown